Entry 1:
Entry from the Alexandria database: a relaxed structure of Ga2Pd6Au (PBE).

Cell and atoms, written as extended XYZ:
```
9
Lattice="-1.823 1.559 3.546 0.667 -3.316 4.385 4.515 3.802 3.234" Properties=species:S:1:pos:R:3 pbc="T T T"
Au 2.591 0.243 3.809
Pd 1.154 2.386 4.713
Pd 2.205 -0.341 6.452
Pd 0.210 0.435 2.501
Pd 2.185 4.109 7.069
Pd 3.148 1.610 8.663
Pd 1.173 -2.064 4.095
Ga 3.378 1.969 6.040
Ga -0.020 0.076 5.125
```

Energy above the most stable polymorph in this dataset   0.000 eV/f.u.
DOS(E_F)   4.1 states/eV/cell
Density   11.6 g/cm3
Crystal system   orthorhombic

Entry 2:
Entry from the Alexandria database: a relaxed structure of GaPdAu5 (PBE).

Cell and atoms, written as extended XYZ:
```
7
Lattice="-5.129 3.923 3.570 -3.611 -3.658 -1.170 5.158 -1.889 1.863" Properties=species:S:1:pos:R:3 pbc="T T T"
Ga -5.591 1.066 2.050
Au -4.800 -1.165 0.566
Au -4.296 -0.642 3.394
Au -2.971 0.688 1.159
Au -0.118 -0.347 1.448
Au -2.177 -1.545 -0.326
Pd -3.833 2.931 2.667
```

DOS(E_F)   1.9 states/eV/cell
Density   13.7 g/cm3
Crystal system   orthorhombic

Entry 3:
Entry from the Alexandria database: a relaxed structure of Ga3Pd5Au (PBE).

Cell and atoms, written as extended XYZ:
```
18
Lattice="5.623 0.000 0.000 0.000 6.554 -3.784 0.000 -0.001 7.566" Properties=species:S:1:pos:R:3 pbc="T T T"
Pd 4.217 2.101 -1.213
Pd 4.217 6.553 -1.357
Pd 1.406 2.102 1.212
Pd 1.406 0.000 5.139
Pd 2.811 4.369 -0.001
Pd 1.406 4.452 -2.571
Pd 0.000 2.184 3.783
Pd 2.811 2.184 3.783
Pd 0.000 4.369 -0.001
Pd 4.217 4.451 2.569
Au 2.811 0.000 0.000
Au 0.000 0.000 0.000
Ga 4.217 4.242 -2.449
Ga 1.406 2.311 -1.335
Ga 1.406 4.243 2.448
Ga 1.406 0.000 2.667
Ga 4.217 6.552 1.115
Ga 4.217 2.310 1.334
```

Energy above the most stable polymorph in this dataset   0.000 eV/f.u.
DOS(E_F)   6.3 states/eV/cell
Density   11.2 g/cm3
Crystal system   hexagonal

Entry 4:
Entry from the Alexandria database: a relaxed structure of GaPd3Au2 (PBE).

Cell and atoms, written as extended XYZ:
```
12
Lattice="-3.230 -1.783 -2.086 -1.256 -5.980 2.750 -4.624 3.060 4.543" Properties=species:S:1:pos:R:3 pbc="T T T"
Ga -2.984 -5.270 0.513
Ga -1.502 -2.493 0.150
Au 0.000 0.000 0.000
Au -5.303 -3.640 2.709
Au -3.807 -1.063 2.496
Au -2.312 1.530 2.271
Pd -2.732 -0.152 0.055
Pd -4.134 -2.876 0.248
Pd -4.976 -1.826 4.958
Pd -6.699 -1.179 2.768
Pd -5.121 1.429 2.401
Pd -2.411 -3.523 2.438
```

Energy above the most stable polymorph in this dataset   0.000 eV/f.u.
DOS(E_F)   3.1 states/eV/cell
Density   13.5 g/cm3
Crystal system   orthorhombic

Entry 5:
Entry from the Alexandria database: a relaxed structure of Ga4PdAu5 (PBE).

Cell and atoms, written as extended XYZ:
```
10
Lattice="3.929 0.000 -0.997 -0.171 5.902 -0.676 -0.151 0.689 7.644" Properties=species:S:1:pos:R:3 pbc="T T T"
Au 0.826 2.232 3.254
Au 0.305 4.322 1.204
Au 2.781 4.359 2.718
Au 1.879 2.951 -0.836
Au 3.301 2.269 4.768
Ga 1.012 5.966 3.988
Ga 0.194 1.514 0.765
Ga 3.412 5.077 5.206
Ga 2.594 0.625 1.984
Pd 1.965 0.000 -0.499
```

Energy above the most stable polymorph in this dataset   0.622 eV/f.u.
DOS(E_F)   3.6 states/eV/cell
Density   12.8 g/cm3
Crystal system   monoclinic

Entry 6:
Entry from the Alexandria database: a relaxed structure of Ga2Pd2Au (PBE).

Cell and atoms, written as extended XYZ:
```
10
Lattice="4.019 0.000 0.000 0.000 5.748 0.000 -2.009 0.000 7.064" Properties=species:S:1:pos:R:3 pbc="T T T"
Ga 0.000 2.000 2.952
Ga 2.009 0.129 0.923
Ga 2.009 4.874 4.111
Ga 0.000 3.003 6.141
Pd 0.000 5.239 2.464
Pd 0.000 1.655 0.341
Pd 2.009 4.529 6.723
Pd 2.009 2.365 4.599
Au 0.000 0.371 5.276
Au 2.009 3.245 1.788
```

Energy above the most stable polymorph in this dataset   0.078 eV/f.u.
DOS(E_F)   5.0 states/eV/cell
Density   11.2 g/cm3
Crystal system   orthorhombic

Entry 7:
Entry from the Alexandria database: a relaxed structure of Ga4Pd9Au2 (PBE).

Cell and atoms, written as extended XYZ:
```
15
Lattice="4.323 0.000 0.000 -2.162 3.744 0.000 0.000 0.000 15.073" Properties=species:S:1:pos:R:3 pbc="T T T"
Au 2.162 1.248 3.550
Au 0.000 2.496 11.523
Pd 0.000 0.000 10.205
Pd 2.162 1.248 0.739
Pd 0.000 0.000 13.023
Pd 0.000 2.496 8.642
Pd 0.000 2.496 14.334
Pd 0.000 0.000 2.050
Pd 2.162 1.248 6.431
Pd 0.000 0.000 7.537
Pd 0.000 0.000 4.868
Ga 2.162 1.248 9.265
Ga 0.000 2.496 1.779
Ga 0.000 2.496 5.808
Ga 2.162 1.248 13.294
```

DOS(E_F)   6.0 states/eV/cell
Density   11.1 g/cm3
Crystal system   trigonal

Entry 8:
Entry from the Alexandria database: a relaxed structure of Ga8Pd3Au2 (PBE).

Cell and atoms, written as extended XYZ:
```
13
Lattice="4.287 0.000 0.000 0.000 7.430 -4.305 0.000 -0.559 7.688" Properties=species:S:1:pos:R:3 pbc="T T T"
Pd 0.000 5.064 4.425
Pd 2.144 0.000 0.000
Pd 0.000 1.807 -1.042
Ga 2.144 6.307 -1.852
Ga 2.144 4.205 3.103
Ga 2.144 2.666 0.280
Ga 0.000 6.038 1.925
Ga 2.144 0.564 5.234
Ga 4.287 0.833 1.458
Ga 0.000 4.435 -0.903
Ga 4.287 2.435 4.286
Au 2.144 1.615 2.848
Au 2.144 5.256 0.535
```

DOS(E_F)   3.9 states/eV/cell
Density   9.0 g/cm3
Crystal system   monoclinic

Computed M_tot, in the same sequence as the records: 0.000, 0.000, 0.000, 0.000, 0.000, 0.000, 0.000, 0.000 μB/atom.
Computed DFT formation energy, in the same sequence as the records: -0.398, 0.080, -0.519, -0.346, -0.184, -0.459, -0.406, -0.369 eV/atom.
Computed volume, in the same sequence as the records: 139.50, 140.72, 278.78, 193.11, 178.33, 163.17, 243.97, 234.57 Å³ per cell.